Record 1
! LaEuAlPb PBE optimized geometry; values from VASP
! Final energy ... -6.044 eV per atom
! Energy of formation ... -381 meV per atom
! Magnetic moment ... 7.158 μB/cell
&SYSTEM
  ibrav = 0, nat = 4, ntyp = 4
/
ATOMIC_SPECIES
Pb 207.20 Pb.upf
Eu 151.96 Eu.upf
Al 26.98 Al.upf
La 138.91 La.upf
ATOMIC_POSITIONS angstrom
Pb -1.018 -2.282 -2.284
Eu 0.000 0.000 0.000
Al -3.053 -6.845 -6.852
La -2.035 -4.563 -4.568
CELL_PARAMETERS angstrom
-0.699 -0.984 -5.394
0.888 -5.067 -2.023
-4.260 -3.075 -1.719

Record 2
! LaEuAlPd PBE optimized geometry; values from VASP
! Final energy ... -6.465 eV per atom
! Energy of formation ... -431 meV per atom
! Magnetic moment ... 6.941 μB/cell
&SYSTEM
  ibrav = 0, nat = 4, ntyp = 4
/
ATOMIC_SPECIES
Eu 151.96 Eu.upf
Al 26.98 Al.upf
Pd 106.42 Pd.upf
La 138.91 La.upf
ATOMIC_POSITIONS angstrom
Eu 5.276 3.046 2.154
Al 7.914 4.569 3.231
Pd 2.638 1.523 1.077
La 0.000 0.000 0.000
CELL_PARAMETERS angstrom
5.276 0.000 0.000
2.638 4.569 0.000
2.638 1.523 4.308

Record 3
! LaPmEuAl PBE optimized geometry; values from VASP
! Final energy ... -5.994 eV per atom
! Energy of formation ... -70 meV per atom
! Magnetic moment ... 7.342 μB/cell
&SYSTEM
  ibrav = 0, nat = 4, ntyp = 4
/
ATOMIC_SPECIES
Eu 151.96 Eu.upf
La 138.91 La.upf
Al 26.98 Al.upf
Pm 145.00 Pm.upf
ATOMIC_POSITIONS angstrom
Eu 8.337 4.813 3.403
La 5.558 3.209 2.269
Al 2.779 1.604 1.134
Pm 0.000 0.000 0.000
CELL_PARAMETERS angstrom
5.558 0.000 0.000
2.779 4.813 0.000
2.779 1.604 4.538

Record 4
! LaPrEuAl PBE optimized geometry; values from VASP
! Final energy ... -6.007 eV per atom
! Energy of formation ... -76 meV per atom
! Magnetic moment ... 7.301 μB/cell
&SYSTEM
  ibrav = 0, nat = 4, ntyp = 4
/
ATOMIC_SPECIES
Eu 151.96 Eu.upf
Pr 140.91 Pr.upf
Al 26.98 Al.upf
La 138.91 La.upf
ATOMIC_POSITIONS angstrom
Eu 8.383 4.840 3.422
Pr 0.000 0.000 0.000
Al 2.794 1.613 1.141
La 5.589 3.227 2.282
CELL_PARAMETERS angstrom
5.589 0.000 0.000
2.794 4.840 0.000
2.794 1.613 4.563

Record 5
! LaEuAlTl PBE optimized geometry; values from VASP
! Final energy ... -5.650 eV per atom
! Energy of formation ... -322 meV per atom
! Magnetic moment ... 7.413 μB/cell
&SYSTEM
  ibrav = 0, nat = 4, ntyp = 4
/
ATOMIC_SPECIES
Eu 151.96 Eu.upf
Tl 204.38 Tl.upf
Al 26.98 Al.upf
La 138.91 La.upf
ATOMIC_POSITIONS angstrom
Eu -2.666 1.326 -1.591
Tl 0.000 0.000 0.000
Al -5.332 2.651 -3.182
La -7.998 3.977 -4.772
CELL_PARAMETERS angstrom
-2.836 4.633 -0.937
-2.342 0.852 -4.917
-5.486 -0.182 -0.509

Record 6
! LaEuYAl PBE optimized geometry; values from VASP
! Final energy ... -6.411 eV per atom
! Energy of formation ... -59 meV per atom
! Magnetic moment ... 7.591 μB/cell
&SYSTEM
  ibrav = 0, nat = 4, ntyp = 4
/
ATOMIC_SPECIES
Eu 151.96 Eu.upf
Y 88.91 Y.upf
Al 26.98 Al.upf
La 138.91 La.upf
ATOMIC_POSITIONS angstrom
Eu 5.522 3.188 2.254
Y 8.283 4.782 3.381
Al 0.000 0.000 0.000
La 2.761 1.594 1.127
CELL_PARAMETERS angstrom
5.522 0.000 0.000
2.761 4.782 0.000
2.761 1.594 4.509

Record 7
! LaEuAlZn PBE optimized geometry; values from VASP
! Final energy ... -5.339 eV per atom
! Energy of formation ... -284 meV per atom
! Magnetic moment ... 7.387 μB/cell
&SYSTEM
  ibrav = 0, nat = 4, ntyp = 4
/
ATOMIC_SPECIES
Eu 151.96 Eu.upf
Zn 65.41 Zn.upf
Al 26.98 Al.upf
La 138.91 La.upf
ATOMIC_POSITIONS angstrom
Eu 8.035 4.639 3.280
Zn 0.000 0.000 0.000
Al 5.357 3.093 2.187
La 2.678 1.546 1.093
CELL_PARAMETERS angstrom
5.357 0.000 0.000
2.678 4.639 0.000
2.678 1.546 4.374

Record 8
! LiEuAl PBE optimized geometry; values from VASP
! Final energy ... -5.377 eV per atom
! Energy of formation ... -67 meV per atom
! Magnetic moment ... 7.178 μB/cell
! Energy relative to the lowest polymorph listed for this composition ... 31.2 meV/atom
&SYSTEM
  ibrav = 0, nat = 3, ntyp = 3
/
ATOMIC_SPECIES
Eu 151.96 Eu.upf
Al 26.98 Al.upf
Li 6.94 Li.upf
ATOMIC_POSITIONS angstrom
Eu 1.817 1.817 5.088
Al 1.817 1.817 1.598
Li 0.000 0.000 2.776
CELL_PARAMETERS angstrom
3.635 0.000 0.000
0.000 3.635 0.000
-1.817 -1.817 5.566

Q: What is the formula in the sixth record?
A: LaEuYAl